Record 1
Below is a relaxed structure of CaMgHg2, with properties calculated at the GGA-PBE level.

Calculated values
energy relative to the elements = -0.314 eV/atom
electronic total energy = -10.91 eV per cell

a b c (Å): 10.716 3.817 5.196
angles (deg): 90.00 106.99 90.00
Space group Cm (No. 8)
Inequivalent atoms, fractional coordinates:
1 Ca 0.000 0.000 0.000 [2 per cell]
2 Mg 0.228 0.000 0.648 [2 per cell]
3 Hg 0.246 0.500 0.185 [2 per cell]
4 Hg 0.491 0.000 0.507 [2 per cell]

=====

Record 2
Below is a relaxed structure of CaMgHg2, with properties calculated at the GGA-PBE level.

Calculated values
energy relative to the elements = -0.373 eV/atom
electronic total energy = -11.38 eV per cell

a b c (Å): 7.096 7.103 3.908
angles (deg): 90.00 90.16 90.00
Space group C2/m (No. 12)
Inequivalent atoms, fractional coordinates:
1 Ca 0.000 0.000 0.000 [2 per cell]
2 Mg 0.000 0.500 0.000 [2 per cell]
3 Hg 0.250 0.250 0.500 [4 per cell]

=====

Record 3
Below is a relaxed structure of CaMg3Hg2, with properties calculated at the GGA-PBE level.

Calculated values
energy relative to the elements = -0.267 eV/atom
E above lowest polymorph = 18.1 meV per atom
electronic total energy = -35.96 eV per cell

a b c (Å): 17.475 4.460 8.166
angles (deg): 90.00 110.85 90.00
Space group C2/m (No. 12)
Inequivalent atoms, fractional coordinates:
1 Ca 0.113 0.000 0.143 [4 per cell]
2 Mg 0.070 0.000 0.669 [4 per cell]
3 Mg 0.159 0.500 0.494 [4 per cell]
4 Mg 0.188 0.500 0.895 [4 per cell]
5 Hg 0.007 0.500 0.800 [4 per cell]
6 Hg 0.242 0.000 0.724 [4 per cell]

=====

Record 4
Below is a relaxed structure of CaMg2Hg2, with properties calculated at the GGA-PBE level.

Calculated values
energy relative to the elements = -0.325 eV/atom
E above lowest polymorph = 0.0 meV per atom
electronic total energy = -14.84 eV per cell

a b c (Å): 4.415 4.415 13.040
angles (deg): 90.00 90.00 90.00
Space group I4/mmm (No. 139)
Inequivalent atoms, fractional coordinates:
1 Ca 0.000 0.000 0.000 [2 per cell]
2 Mg 0.000 0.500 0.250 [4 per cell]
3 Hg 0.000 0.000 0.390 [4 per cell]

=====

Record 5
Below is a relaxed structure of Ca2Mg3Hg4, with properties calculated at the GGA-PBE level.

Calculated values
energy relative to the elements = -0.355 eV/atom
E above lowest polymorph = 0.0 meV per atom
electronic total energy = -52.77 eV per cell

a b c (Å): 6.374 16.881 8.329
angles (deg): 90.00 90.00 90.00
Space group Cmce (No. 64)
Inequivalent atoms, fractional coordinates:
1 Ca 0.000 0.106 0.090 [8 per cell]
2 Mg 0.000 0.000 0.500 [4 per cell]
3 Mg 0.250 0.225 0.750 [8 per cell]
4 Hg 0.000 0.176 0.463 [8 per cell]
5 Hg 0.250 0.055 0.750 [8 per cell]

=====

Record 6
Below is a relaxed structure of CaMg2Hg2, with properties calculated at the GGA-PBE level.

Calculated values
energy relative to the elements = -0.277 eV/atom
E above lowest polymorph = 48.5 meV per atom
electronic total energy = -14.36 eV per cell

a b c (Å): 4.982 6.755 7.281
angles (deg): 90.00 90.00 90.00
Space group Immm (No. 71)
Inequivalent atoms, fractional coordinates:
1 Ca 0.000 0.000 0.000 [2 per cell]
2 Mg 0.000 0.500 0.197 [4 per cell]
3 Hg 0.000 0.213 0.500 [4 per cell]